A plane-wave DFT calculation with PBE-GGA was carried out for a relaxed structure of InNi2Br.

Cell lengths 3.2712, 3.2712, 22.2398 Å; angles 90.00, 90.00, 120.00 degrees
With the nearest neighbours (Å) after each atom.
Space group R-3m (No. 166, hexagonal axes)
Unique sites:
In1 0.0000 0.0000 0.0000 (multiplicity 3)  6 Ni 2.67
Ni1 0.0000 0.0000 0.2486 (multiplicity 6)  3 Br 2.62, 3 In 2.67
Br1 0.0000 0.0000 0.5000 (multiplicity 3)  6 Ni 2.62

Computed properties:
The formation energy (no corrections) comes out at 0.25 eV/atom. The calculation puts the energy above the most stable polymorph in this dataset at 0.82 eV/f.u.